Record 1
KLiPO4: optimized geometry, PBE.

Density in Mg/m³: 1.941
SG: No. 82
Formation energy (no corrections) in eV per atom: -2.03
Raw total energy in eV/cell: -42.47

Unit cell a=5.582 b=5.582 c=5.582 alpha=121.22 beta=121.22 gamma=87.91
Atoms (fractional coordinates):
K (0.000, 0.000, 0.000)
Li (0.500, 0.500, 0.000)
P (0.250, 0.750, 0.500)
O (0.285, 0.648, 0.207)
O (0.352, 0.559, 0.637)
O (0.441, 0.078, 0.793)
O (0.922, 0.715, 0.363)



Record 2
LiNdPaS4: optimized geometry, PBE.

Density in Mg/m³: 4.492
SG: No. 74
Formation energy (no corrections) in eV per atom: -1.68
Raw total energy in eV/cell: -88.91

Unit cell a=8.117 b=8.117 c=8.117 alpha=120.53 beta=119.74 gamma=89.77
Atoms (fractional coordinates):
Li (0.366, 0.116, 0.250)
Li (0.634, 0.884, 0.750)
Nd (0.000, 0.500, 0.500)
Nd (0.500, 0.500, 0.000)
Pa (0.000, 0.000, 0.500)
Pa (0.000, 0.500, 0.000)
S (0.227, 0.748, 0.479)
S (0.231, 0.252, 0.979)
S (0.235, 0.240, 0.505)
S (0.235, 0.730, 0.995)
S (0.765, 0.270, 0.005)
S (0.765, 0.760, 0.495)
S (0.769, 0.748, 0.021)
S (0.773, 0.252, 0.521)